Density functional theory data (PBE-GGA) for an optimized crystal structure of Cd2In5Hg12.

Unit cell a=5.2547 b=12.1303 c=12.1303 alpha=42.02 beta=78.58 gamma=78.58
Fractional coordinates of all 19 atoms:
In (0.3007, 0.6984, 0.6984)
Hg (0.2057, 0.5316, 0.0615)
Hg (0.2057, 0.0615, 0.5316)
Hg (0.4185, 0.7996, 0.3700)
Hg (0.7943, 0.9385, 0.4684)
Hg (0.8974, 0.1015, 0.1015)
In (0.6993, 0.3016, 0.3016)
Hg (0.7943, 0.4684, 0.9385)
Hg (0.9054, 0.5936, 0.5936)
Hg (0.5815, 0.2004, 0.6300)
Cd (0.0000, 0.7525, 0.2475)
Hg (0.1026, 0.8985, 0.8985)
Cd (0.0000, 0.2475, 0.7525)
In (0.5000, 0.0000, 0.0000)
Hg (0.0946, 0.4064, 0.4064)
In (0.6814, 0.8173, 0.8173)
Hg (0.5815, 0.6300, 0.2004)
Hg (0.4185, 0.3700, 0.7996)
In (0.3186, 0.1827, 0.1827)

## Properties
* total DFT energy (no corrections): -0.03657 Ha/atom
* ΔE_f: 0.012 eV per atom
* offset from the most stable computed form: 0 meV/atom

Density functional theory data (PBE-GGA) for an optimized crystal structure of CdIn2Hg.

Unit cell a=5.2850 b=5.2850 c=5.2850 alpha=60.00 beta=60.00 gamma=60.00
Fractional coordinates of all 4 atoms:
In (0.0000, 0.0000, 0.0000)
Cd (0.5000, 0.5000, 0.5000)
In (0.2500, 0.2500, 0.2500)
Hg (0.7500, 0.7500, 0.7500)

## Properties
* total DFT energy (no corrections): -0.05901 Ha/atom
* ΔE_f: 0.068 eV per atom
* offset from the most stable computed form: 62 meV/atom